Record 1
Entry from the Alexandria database: a relaxed structure of SrSiNiHg2 (PBE-GGA).

Formation energy from raw total energies (meV per atom): 519.9

abc: 4.9833 4.9833 6.2125
angles: 90.00 90.00 90.00
Space group P4/mmm (No. 123)
Unique sites:
Sr 0.0000 0.0000 0.0000 [1 per cell]
Si 0.0000 0.0000 0.5000 [1 per cell]
Ni 0.5000 0.5000 0.0000 [1 per cell]
Hg 0.0000 0.5000 0.5000 [2 per cell]

Record 2
Entry from the Alexandria database: a relaxed structure of TaHCl2 (PBE-GGA).

abc: 6.0664 6.0664 6.0664
angles: 90.00 90.00 90.00
Space group Fm-3m (No. 225)
Unique sites:
Ta 0.0000 0.0000 0.0000 [4 per cell]
H 0.0000 0.0000 0.5000 [4 per cell]
Cl 0.2500 0.2500 0.2500 [8 per cell]

Record 3
Entry from the Alexandria database: a relaxed structure of Ba3Ag2Sb4 (PBE-GGA).

Formation energy from raw total energies (meV per atom): -706.6

abc: 12.9654 4.9526 9.8390
angles: 90.00 103.06 90.00
Space group C2/m (No. 12)
Unique sites:
Ba 0.0000 0.0000 0.0000 [2 per cell]
Ba 0.1515 0.5000 0.6659 [4 per cell]
Ag 0.1245 0.5000 0.2833 [4 per cell]
Sb 0.0728 0.0000 0.3753 [4 per cell]
Sb 0.2125 0.5000 0.0528 [4 per cell]

Record 4
Entry from the Alexandria database: a relaxed structure of Li2ZrCr (PBE-GGA).

Energy above the most stable polymorph in this dataset (eV/atom): 0.175
Formation energy (eV per atom): 0.4875

abc: 2.9451 2.9451 30.5147
angles: 90.00 90.00 120.00
Space group R-3m (No. 166, hexagonal axes)
Unique sites:
Li 0.0000 0.0000 0.2438 [6 per cell]
Zr 0.0000 0.0000 0.0000 [3 per cell]
Cr 0.0000 0.0000 0.5000 [3 per cell]

Record 5
Entry from the Alexandria database: a relaxed structure of InSb2WI (PBE-GGA).

Energy above the most stable polymorph in this dataset (eV/atom): 0.000
Formation energy from raw total energies (meV per atom): 525.5

abc: 5.2176 5.2176 6.0559
angles: 90.00 90.00 90.00
Space group P4/mmm (No. 123)
Unique sites:
In 0.0000 0.0000 0.0000 [1 per cell]
Sb 0.0000 0.5000 0.5000 [2 per cell]
W 0.5000 0.5000 0.5000 [1 per cell]
I 0.5000 0.5000 0.0000 [1 per cell]

Record 6
Entry from the Alexandria database: a relaxed structure of ThZnRu2 (PBE-GGA).

Formation energy (eV per atom): -0.0943

abc: 3.4122 3.4122 6.1795
angles: 90.00 90.00 90.00
Space group P4/mmm (No. 123)
Unique sites:
Th 0.0000 0.0000 0.0000 [1 per cell]
Zn 0.0000 0.0000 0.5000 [1 per cell]
Ru 0.5000 0.5000 0.2697 [2 per cell]

Record 7
Entry from the Alexandria database: a relaxed structure of MgUTcRu (PBE-GGA).

Formation energy (eV per atom): -0.0738

abc: 6.5185 6.5185 6.5185
angles: 90.00 90.00 90.00
Space group F-43m (No. 216)
Unique sites:
Mg 0.0000 0.0000 0.0000 [4 per cell]
U 0.0000 0.0000 0.5000 [4 per cell]
Tc 0.2500 0.2500 0.2500 [4 per cell]
Ru 0.2500 0.2500 0.7500 [4 per cell]

Record 8
Entry from the Alexandria database: a relaxed structure of BaLaTlCl6 (PBE-GGA).

Formation energy from raw total energies (meV per atom): -2117.4

abc: 7.8568 7.8568 12.9551
angles: 90.00 90.00 120.00
Space group P-31c (No. 163)
Unique sites:
Ba 0.3333 0.6667 0.2500 [2 per cell]
La 0.3333 0.6667 0.7500 [2 per cell]
Tl 0.0000 0.0000 0.0000 [2 per cell]
Cl 0.0281 0.3738 0.6320 [12 per cell]

Record 9
Entry from the Alexandria database: a relaxed structure of ScZn2Re (PBE-GGA).

Energy above the most stable polymorph in this dataset (eV/atom): 0.148
Formation energy (eV per atom): 0.0614

abc: 3.3768 4.4222 8.7081
angles: 90.00 90.00 90.00
Space group Cmm2 (No. 35)
Unique sites:
Sc 0.0000 0.0000 0.0000 [2 per cell]
Zn 0.0000 0.0000 0.4891 [2 per cell]
Zn 0.0000 0.5000 0.7292 [2 per cell]
Re 0.0000 0.5000 0.2513 [2 per cell]

Record 10
Entry from the Alexandria database: a relaxed structure of SbRh2Br (PBE-GGA).

Energy above the most stable polymorph in this dataset (eV/atom): 0.400
Formation energy from raw total energies (meV per atom): 241.8

abc: 4.6914 4.6914 3.2432
angles: 90.00 90.00 90.00
Space group P4/mmm (No. 123)
Unique sites:
Sb 0.0000 0.0000 0.0000 [1 per cell]
Rh 0.0000 0.5000 0.5000 [2 per cell]
Br 0.5000 0.5000 0.0000 [1 per cell]

Record 11
Entry from the Alexandria database: a relaxed structure of CeHoEr2S6 (PBE-GGA).

Formation energy from raw total energies (meV per atom): -2022.6

abc: 6.9481 6.9481 18.4808
angles: 90.00 90.00 120.00
Space group R3 (No. 146, hexagonal axes)
Unique sites:
Ce 0.0000 0.0000 0.0000 [3 per cell]
Ho 0.0000 0.0000 0.5057 [3 per cell]
Er 0.0000 0.0000 0.2037 [3 per cell]
Er 0.0000 0.0000 0.7072 [3 per cell]
S 0.0317 0.3595 0.7745 [9 per cell]
S 0.0519 0.6906 0.2737 [9 per cell]

Record 12
Entry from the Alexandria database: a relaxed structure of TlCd8Sb6 (PBE-GGA).

Formation energy from raw total energies (meV per atom): -7.0

abc: 8.0107 8.0107 23.3186
angles: 90.00 90.00 120.00
Space group R-3 (No. 148, hexagonal axes)
Unique sites:
Tl 0.0000 0.0000 0.0000 [3 per cell]
Cd 0.0000 0.0000 0.3339 [6 per cell]
Cd 0.0069 0.6864 0.1284 [18 per cell]
Sb 0.0066 0.6517 0.9245 [18 per cell]

Record 13
Entry from the Alexandria database: a relaxed structure of Sm4Pu3ThSe8 (PBE-GGA).

Formation energy from raw total energies (meV per atom): -1689.2

abc: 8.3073 8.3073 20.5136
angles: 90.00 90.00 120.00
Space group R-3m (No. 166, hexagonal axes)
Unique sites:
Sm 0.0000 0.0000 0.0000 [3 per cell]
Sm 0.0000 0.5000 0.0000 [9 per cell]
Pu 0.0000 0.5000 0.5000 [9 per cell]
Th 0.0000 0.0000 0.5000 [3 per cell]
Se 0.0000 0.0000 0.2488 [6 per cell]
Se 0.0032 0.5016 0.7503 [18 per cell]

Record 14
Entry from the Alexandria database: a relaxed structure of AgPd (PBE-GGA).

Formation energy (eV per atom): -0.0256

abc: 8.0858 8.0858 8.0858
angles: 90.00 90.00 90.00
Space group Fd-3m (No. 227, origin choice 2)
Unique sites:
Ag 0.0000 0.0000 0.0000 [16 per cell]
Pd 0.0000 0.0000 0.5000 [16 per cell]

Record 15
Entry from the Alexandria database: a relaxed structure of ZnSbN (PBE-GGA).

Energy above the most stable polymorph in this dataset (eV/atom): 0.335
Formation energy from raw total energies (meV per atom): 392.7

abc: 3.4463 4.0229 7.6300
angles: 79.80 89.64 89.75
Space group P-1 (No. 2)
Unique sites:
Zn 0.2475 0.2617 0.4236 [2 per cell]
Sb 0.2483 0.2584 0.8368 [2 per cell]
N 0.2509 0.8678 0.6864 [2 per cell]

Record 16
Entry from the Alexandria database: a relaxed structure of CaHg2S (PBE-GGA).

Formation energy from raw total energies (meV per atom): 40.9

abc: 4.0710 4.0710 27.1981
angles: 90.00 90.00 120.00
Space group R-3m (No. 166, hexagonal axes)
Unique sites:
Ca 0.0000 0.0000 0.0000 [3 per cell]
Hg 0.0000 0.0000 0.1098 [6 per cell]
S 0.0000 0.0000 0.5000 [3 per cell]

| no. | total DFT energy (no corrections) (eV per atom) |
| --- | --- |
| 1 | -2.178 |
| 2 | -4.414 |
| 3 | -3.813 |
| 4 | -5.012 |
| 5 | -4.572 |
| 6 | -6.906 |
| 7 | -8.205 |
| 8 | -4.372 |
| 9 | -5.270 |
| 10 | -4.883 |
| 11 | -6.463 |
| 12 | -2.302 |
| 13 | -7.762 |
| 14 | -4.048 |
| 15 | -4.181 |
| 16 | -1.642 |